DFT (PBE) results for crystalline VSi2TcAg at its relaxed geometry.

```
5
Lattice="-0.150 -1.083 4.447 0.452 -4.327 -1.038 4.554 0.415 0.254" Properties=species:S:1:pos:R:3 pbc="T T T"
V 0.000 0.000 0.000
Si 2.277 0.208 0.127
Ag 2.428 -2.497 1.832
Tc 0.226 -2.163 -0.519
Si -0.075 -0.541 2.224
```

SG ... P4/mmm (123)

***

DFT (PBE) results for crystalline SiAg2Te at its relaxed geometry.

```
4
Lattice="-1.148 3.001 0.537 -2.310 -0.531 -1.974 -9.126 -3.936 2.480" Properties=species:S:1:pos:R:3 pbc="T T T"
Ag -0.818 -0.290 -0.126
Te -9.152 -1.849 0.648
Si -3.433 0.384 0.395
Ag -4.901 -1.943 0.379
```

E above lowest polymorph ... 52 meV per atom
SG ... P2/m (10)

***

DFT (PBE) results for crystalline SiAgTe2 at its relaxed geometry.

```
4
Lattice="-1.526 1.733 -2.679 -3.154 -0.370 1.557 1.019 6.465 3.601" Properties=species:S:1:pos:R:3 pbc="T T T"
Ag -2.085 2.298 0.339
Si -1.575 5.530 2.140
Te 1.008 6.394 3.562
Te 0.521 3.303 1.840
```

E above lowest polymorph ... 369 meV per atom
SG ... P4/mmm (123)

***

DFT (PBE) results for crystalline Si2AgTe4 at its relaxed geometry.

```
7
Lattice="-1.803 -3.297 4.718 -1.787 -4.380 -3.743 5.629 -2.589 0.342" Properties=species:S:1:pos:R:3 pbc="T T T"
Te -1.194 -6.272 0.800
Te 2.399 -5.518 2.699
Ag 0.000 0.000 0.000
Si 1.913 -2.943 2.530
Te 2.406 -6.019 -1.214
Si 1.921 -3.484 -1.700
Te 0.467 -2.722 0.349
```

E above lowest polymorph ... 15 meV per atom
SG ... P-42m (111)

***

DFT (PBE) results for crystalline SiAg2Te at its relaxed geometry.

```
4
Lattice="5.520 0.001 0.000 2.258 5.037 0.000 -3.889 -2.519 3.000" Properties=species:S:1:pos:R:3 pbc="T T T"
Te 2.760 0.001 1.500
Ag 1.129 2.518 1.500
Si 3.889 2.519 0.000
Ag 0.000 0.000 0.000
```

E above lowest polymorph ... 179 meV per atom
SG ... I-4m2 (119)

***

DFT (PBE) results for crystalline SiAg4Te5 at its relaxed geometry.

```
10
Lattice="5.853 0.000 0.000 2.927 6.580 0.000 2.927 0.000 6.580" Properties=species:S:1:pos:R:3 pbc="T T T"
Ag 2.923 1.201 2.624
Te 2.843 0.000 0.000
Ag 5.850 3.956 1.201
Si 0.227 0.000 0.000
Ag 5.850 2.624 5.378
Te 5.836 5.200 4.218
Te 8.763 2.361 5.200
Te 5.836 1.380 2.361
Te 2.910 4.218 1.380
Ag 8.776 5.378 3.956
```

SG ... I4 (79)

***

DFT (PBE) results for crystalline SiAgTe at its relaxed geometry.

```
3
Lattice="6.906 0.012 -0.013 6.177 3.091 0.058 0.730 0.107 3.078" Properties=species:S:1:pos:R:3 pbc="T T T"
Ag 12.798 3.035 0.116
Te 8.945 2.100 1.062
Si 5.153 1.180 1.992
```

E above lowest polymorph ... 232 meV per atom
SG ... I4mm (107)

***

DFT (PBE) results for crystalline SiAgTe2 at its relaxed geometry.

```
4
Lattice="-4.991 -3.643 -0.284 4.359 -4.261 -1.051 -2.576 3.561 4.353" Properties=species:S:1:pos:R:3 pbc="T T T"
Ag -3.941 -2.017 1.701
Te -0.308 -3.847 -0.650
Te -0.008 -0.106 -0.018
Si 0.734 -2.326 1.317
```

E above lowest polymorph ... 307 meV per atom
SG ... Immm (71)

***

DFT (PBE) results for crystalline SiAgTe2 at its relaxed geometry.

```
4
Lattice="11.758 0.105 0.062 11.319 3.185 0.062 11.319 1.614 2.746" Properties=species:S:1:pos:R:3 pbc="T T T"
Ag 17.198 2.452 1.435
Te 31.503 4.491 2.628
Si 0.000 0.000 0.000
Te 2.893 0.412 0.241
```

E above lowest polymorph ... 420 meV per atom
SG ... R-3m (166)

***

DFT (PBE) results for crystalline SiAgTe2 at its relaxed geometry.

```
4
Lattice="3.971 0.000 0.000 1.986 3.439 0.000 1.986 1.146 7.272" Properties=species:S:1:pos:R:3 pbc="T T T"
Ag 3.971 2.293 3.678
Te 1.986 1.146 1.621
Si 5.957 3.439 7.258
Te 1.986 1.146 5.624
```

E above lowest polymorph ... 57 meV per atom
SG ... R3m (160)

***

DFT (PBE) results for crystalline SiAg3Te at its relaxed geometry.

```
5
Lattice="5.280 0.000 0.000 0.000 5.280 0.000 0.000 0.000 5.280" Properties=species:S:1:pos:R:3 pbc="T T T"
Te 0.000 0.000 0.000
Ag 0.000 2.640 0.000
Ag 0.000 0.000 2.640
Ag 2.640 0.000 0.000
Si 2.640 2.640 2.640
```

E above lowest polymorph ... 442 meV per atom
SG ... Pm-3m (221)

***

DFT (PBE) results for crystalline SiAgTe2 at its relaxed geometry.

```
4
Lattice="-2.870 -1.980 -1.906 2.614 -2.818 -1.008 -1.430 -3.340 5.626" Properties=species:S:1:pos:R:3 pbc="T T T"
Si -1.310 -5.160 3.192
Te -1.295 -3.024 5.094
Ag -0.476 -1.112 1.873
Te -0.751 -3.853 0.991
```

E above lowest polymorph ... 30 meV per atom
SG ... P4mm (99)

***

DFT (PBE) results for crystalline SiAg2Te at its relaxed geometry.

```
4
Lattice="3.940 0.000 0.000 0.000 3.047 -0.050 0.000 0.058 7.070" Properties=species:S:1:pos:R:3 pbc="T T T"
Si 0.000 2.313 3.083
Ag 1.970 0.776 1.865
Te 1.970 2.339 5.231
Ag 0.000 2.278 0.301
```

E above lowest polymorph ... 39 meV per atom
SG ... Pm (6)

***

DFT (PBE) results for crystalline SiAgTe2 at its relaxed geometry.

```
4
Lattice="-0.124 2.055 -3.474 -2.858 -1.044 -0.516 0.592 7.726 4.549" Properties=species:S:1:pos:R:3 pbc="T T T"
Te -0.956 3.440 2.069
Si -1.762 6.039 1.288
Ag -0.629 2.698 -0.729
Te 0.414 7.627 4.497
```

E above lowest polymorph ... 169 meV per atom
SG ... P2/m (10)

***

DFT (PBE) results for crystalline SiAg2Te at its relaxed geometry.

```
4
Lattice="4.649 -0.228 0.070 3.382 3.199 0.070 2.609 0.965 5.707" Properties=species:S:1:pos:R:3 pbc="T T T"
Ag 10.497 3.883 5.620
Te 2.067 0.765 1.395
Ag 8.166 3.021 4.153
Si 5.871 2.172 3.448
```

E above lowest polymorph ... 0 meV per atom
SG ... Cm (8)

***

DFT (PBE) results for crystalline SiAgTe2 at its relaxed geometry.

```
4
Lattice="3.989 0.000 0.000 0.000 7.576 0.000 0.000 0.000 3.886" Properties=species:S:1:pos:R:3 pbc="T T T"
Te 1.995 3.788 0.000
Te 0.000 0.000 0.000
Si 0.000 3.788 1.943
Ag 1.995 0.000 1.943
```

E above lowest polymorph ... 371 meV per atom
SG ... Pmmm (47)

***

DFT (PBE) results for crystalline SiAg2Te at its relaxed geometry.

```
4
Lattice="5.486 -0.047 -0.019 2.165 5.042 0.019 -3.560 -2.905 2.999" Properties=species:S:1:pos:R:3 pbc="T T T"
Si 2.876 -0.227 1.490
Te 1.215 2.317 1.509
Ag 7.533 4.917 0.000
Ag 3.943 2.574 0.000
```

E above lowest polymorph ... 153 meV per atom
SG ... Immm (71)

***

DFT (PBE) results for crystalline SiAg2Te at its relaxed geometry.

```
8
Lattice="-5.656 3.512 1.228 -2.962 -2.899 -5.353 -5.779 -2.964 0.522" Properties=species:S:1:pos:R:3 pbc="T T T"
Si -6.525 -2.779 -3.447
Te -7.872 0.427 -0.157
Te 0.000 0.000 0.000
Si -4.309 0.306 -2.063
Ag -5.145 0.964 0.184
Ag -4.208 -1.987 -3.017
Ag -7.673 -2.098 -1.349
Ag -11.768 -1.582 -3.025
```

E above lowest polymorph ... 218 meV per atom
SG ... I-42d (122)

***

DFT (PBE) results for crystalline SiAg2Te at its relaxed geometry.

```
4
Lattice="-2.483 0.921 -1.491 0.514 -2.920 -2.661 -3.844 -4.165 3.827" Properties=species:S:1:pos:R:3 pbc="T T T"
Te -3.904 -4.162 0.831
Si -1.679 -1.819 1.672
Ag -2.014 -2.115 -1.051
Ag -0.138 -0.150 0.137
```

E above lowest polymorph ... 115 meV per atom
SG ... Pmm2 (25)

***

DFT (PBE) results for crystalline SiAg2Te5 at its relaxed geometry.

```
8
Lattice="-7.918 -2.496 -0.075 2.343 -7.512 2.649 2.472 5.912 1.782" Properties=species:S:1:pos:R:3 pbc="T T T"
Si -0.019 0.056 0.203
Te -2.861 -4.793 1.995
Te -4.340 -7.483 2.612
Te -5.588 -3.476 1.204
Ag 1.104 -3.563 1.972
Ag -4.026 -1.054 0.610
Te -1.368 -2.146 1.244
Te -0.117 -6.151 2.652
```

SG ... Cm (8)

***

DFT (PBE) results for crystalline SiAgTe2 at its relaxed geometry.

```
4
Lattice="6.738 0.000 0.000 4.277 5.206 0.000 -5.508 -2.603 2.879" Properties=species:S:1:pos:R:3 pbc="T T T"
Ag 5.508 2.603 0.000
Te 2.139 2.603 1.439
Te 0.000 0.000 0.000
Si 3.369 0.000 1.439
```

E above lowest polymorph ... 357 meV per atom
SG ... I-4m2 (119)

***

DFT (PBE) results for crystalline SiAg3Te at its relaxed geometry.

```
5
Lattice="4.887 0.000 0.000 0.000 4.887 0.000 0.000 0.000 4.887" Properties=species:S:1:pos:R:3 pbc="T T T"
Te 2.444 2.444 2.444
Si 0.000 0.000 0.000
Ag 0.000 0.000 2.444
Ag 0.000 2.444 0.000
Ag 2.444 0.000 0.000
```

E above lowest polymorph ... 0 meV per atom
SG ... Pm-3m (221)

***

DFT (PBE) results for crystalline SiAgTe2 at its relaxed geometry.

```
4
Lattice="-2.810 -1.015 2.713 -1.827 -3.590 -0.251 3.333 -4.317 4.856" Properties=species:S:1:pos:R:3 pbc="T T T"
Te -0.563 -4.515 3.736
Te 3.245 -4.263 4.779
Si -0.978 -6.691 5.489
Ag -0.326 -2.230 1.830
```

E above lowest polymorph ... 0 meV per atom
SG ... C2/m (12)

***

DFT (PBE) results for crystalline SiAg2Te at its relaxed geometry.

```
4
Lattice="-2.863 2.696 0.465 -1.271 -1.907 3.230 3.429 3.094 3.175" Properties=species:S:1:pos:R:3 pbc="T T T"
Ag 0.239 0.215 0.221
Te 0.319 2.548 4.057
Si 1.835 1.656 1.699
Ag -1.383 1.012 2.481
```

E above lowest polymorph ... 106 meV per atom
SG ... P4mm (99)

***

DFT (PBE) results for crystalline SiAg2Te at its relaxed geometry.

```
4
Lattice="3.103 0.136 0.000 -0.134 3.103 0.000 0.000 0.000 8.807" Properties=species:S:1:pos:R:3 pbc="T T T"
Si 1.484 1.619 2.202
Ag 0.000 0.000 3.912
Te 1.484 1.619 6.605
Ag 0.000 0.000 0.491
```

E above lowest polymorph ... 134 meV per atom
SG ... P4/mmm (123)

***

DFT (PBE) results for crystalline SiAgTe2 at its relaxed geometry.

```
8
Lattice="-4.845 -3.933 0.191 3.783 -4.564 1.959 -1.690 -2.515 7.352" Properties=species:S:1:pos:R:3 pbc="T T T"
Ag -3.533 -5.348 4.309
Ag 0.000 0.000 0.000
Te -1.581 -5.176 6.364
Si -0.531 -4.249 1.075
Te -2.282 -9.219 7.352
Te -2.869 -3.569 2.198
Si 0.781 -5.664 5.193
Te 1.227 -4.062 3.091
```

E above lowest polymorph ... 67 meV per atom
SG ... I-42d (122)

***

DFT (PBE) results for crystalline SiAgTe2 at its relaxed geometry.

```
4
Lattice="3.222 -0.098 0.000 -0.816 3.118 0.000 0.000 0.000 9.848" Properties=species:S:1:pos:R:3 pbc="T T T"
Si 1.203 1.510 7.138
Te 1.203 1.510 2.951
Te 0.000 0.000 9.242
Ag 0.000 0.000 5.289
```

E above lowest polymorph ... 313 meV per atom
SG ... Cmm2 (35)

***

DFT (PBE) results for crystalline SiAg2Te at its relaxed geometry.

```
4
Lattice="-1.277 4.578 -4.668 -4.746 4.645 -0.525 4.977 -2.911 3.335" Properties=species:S:1:pos:R:3 pbc="T T T"
Ag 0.774 2.481 -1.594
Te -1.733 3.697 -0.188
Si -3.017 4.620 -2.601
Ag -0.081 0.125 -0.070
```

E above lowest polymorph ... 58 meV per atom
SG ... Imm2 (44)

***

no.,electronic total energy (eV/atom),uncorrected formation energy (meV per atom),total magnetization (μB per cell)
1,-5.77,868,1.093
2,-3.32,252,0.000
3,-3.24,402,0.000
4,-3.70,55,0.000
5,-3.19,378,0.000
6,-3.25,8,0.000
7,-3.34,463,0.000
8,-3.30,340,0.000
9,-3.19,452,0.000
10,-3.55,89,0.000
11,-2.51,918,0.000
12,-3.58,63,0.000
13,-3.33,239,0.000
14,-3.44,201,0.000
15,-3.37,200,0.000
16,-3.24,404,0.000
17,-3.21,353,0.000
18,-3.15,417,0.000
19,-3.25,314,0.000
20,-3.26,96,0.000
21,-3.25,390,0.000
22,-2.95,476,0.000
23,-3.61,33,0.000
24,-3.26,306,0.000
25,-3.23,334,0.000
26,-3.54,100,0.000
27,-3.29,346,0.000
28,-3.31,258,0.000